Record 1
# AgPdSCl2

An optimized crystal structure of AgPdSCl2 (GGA-PBE, Alexandria).

a = 4.896 Å, b = 4.896 Å, c = 5.014 Å
α = 90.00°, β = 90.00°, γ = 90.00°
Element x y z (fractional)
Ag: 0.000 0.000 0.000
Pd: 0.500 0.500 0.500
S: 0.000 0.000 0.500
Cl: 0.000 0.500 0.000
Cl: 0.500 0.000 0.000

Values from the calculation:
E_form (uncorrected), kJ per mole of atoms: 51.4
V, Å³/atom: 24.03
Space-group type: No. 123
Magnetic moment, μB/f.u.: 1.776

---

Record 2
# AgPdSCl2

An optimized crystal structure of AgPdSCl2 (GGA-PBE, Alexandria).

a = 4.946 Å, b = 4.946 Å, c = 4.650 Å
α = 90.00°, β = 90.00°, γ = 90.00°
Element x y z (fractional)
Ag: 0.000 0.000 0.000
Pd: 0.500 0.500 0.500
S: 0.500 0.500 0.000
Cl: 0.000 0.500 0.500
Cl: 0.500 0.000 0.500

Values from the calculation:
E_form (uncorrected), kJ per mole of atoms: 7.1
V, Å³/atom: 22.74
Space-group type: No. 123
Magnetic moment, μB/f.u.: 0.875